Crystalline La4Co4O11 at its relaxed geometry, computed with GGA+U.

## Properties
**Mass density**: 6.8 g cm⁻³
**Total magnetization**: 10.0 Bohr magnetons per cell
**SG**: Pm (6)
**Uncorrected energy**: -0.5302 Ry per atom

a b c (Å): 5.4837 5.5391 7.7218
angles (deg): 90.00 90.00 90.20
Last column: magnetic moment on the atom in μB.
Fractional coordinates of all 19 atoms:
1 O 0.2745 0.7083 0.9703  0.03
2 O 0.2108 0.2302 0.9699  -0.01
3 O 0.2108 0.2302 0.5301  -0.01
4 O 0.4235 0.9867 0.2500  0.05
5 O 0.7940 0.7625 0.4413  0.03
6 O 0.7381 0.2877 0.4439  0.04
7 O 0.5800 0.0162 0.7500  0.05
8 O 0.2745 0.7083 0.5297  0.03
9 O 0.7381 0.2877 0.0561  0.04
10 O 0.9043 0.5308 0.7500  0.16
11 O 0.7940 0.7625 0.0587  0.03
12 La 0.9944 0.0316 0.2500  0.02
13 La 0.0085 0.9648 0.7500  0.00
14 La 0.5078 0.5410 0.2500  0.02
15 La 0.4833 0.4644 0.7500  0.01
16 Co 0.5052 0.9996 0.4968  2.53
17 Co 0.9947 0.4982 0.5047  2.09
18 Co 0.9947 0.4982 0.9953  2.09
19 Co 0.5052 0.9996 0.0032  2.53